No. 1
A plane-wave DFT calculation with PBE-GGA was carried out for Cd3RuI after structural relaxation.

Unit cell a=5.3181 b=5.3181 c=5.3181 alpha=90.00 beta=90.00 gamma=90.00
Last column: magnetic moment on the atom in μB.
Fractional coordinates of all 5 atoms:
I  0.5000  0.5000  0.5000  0.05
Ru  0.0000  0.0000  0.0000  1.02
Cd  0.0000  0.5000  0.0000  0.01
Cd  0.0000  0.0000  0.5000  0.01
Cd  0.5000  0.0000  0.0000  0.02

Summary:
- Space group: No. 221
- V: 30.081 Å³ per atom
- Formation energy (no corrections): 0.517 eV/atom

=====

No. 2
A plane-wave DFT calculation with PBE-GGA was carried out for CdRuI3 after structural relaxation.

Unit cell a=5.4588 b=5.4588 c=5.4588 alpha=90.00 beta=90.00 gamma=90.00
Last column: magnetic moment on the atom in μB.
Fractional coordinates of all 5 atoms:
I  0.0000  0.5000  0.0000  0.01
I  0.0000  0.0000  0.5000  0.02
I  0.5000  0.0000  0.0000  0.09
Ru  0.0000  0.0000  0.0000  0.86
Cd  0.5000  0.5000  0.5000  -0.04

Summary:
- Space group: No. 221
- V: 32.532 Å³ per atom
- Formation energy (no corrections): 0.285 eV/atom

=====

No. 3
A plane-wave DFT calculation with PBE-GGA was carried out for CdRu2I after structural relaxation.

Unit cell a=7.2904 b=7.2904 c=5.9845 alpha=52.47 beta=52.47 gamma=90.00
Fractional coordinates of all 8 atoms:
I  0.0000  0.0000  0.0000
I  0.7500  0.2500  0.5000
Ru  0.6651  0.1250  0.2500
Ru  0.0849  0.6250  0.2500
Ru  0.3750  0.3349  0.7500
Ru  0.8750  0.9151  0.7500
Cd  0.5000  0.5000  0.0000
Cd  0.2500  0.7500  0.5000

Summary:
- Space group: No. 122
- V: 20.194 Å³ per atom
- Formation energy (no corrections): 1.088 eV/atom

=====

Number 1: VASP energy -2.197 eV/atom, magnetic moment 1.257 μB/f.u.. Number 2: VASP energy -2.683 eV/atom, magnetic moment 1.041 μB/f.u.. Number 3: VASP energy -4.167 eV/atom, magnetic moment 0.000 μB/f.u..